No. 1
Ba3HoPb2O9 PBE relaxed; calculated density = 7.53 g/cm3; formation energy without anion corrections = -2.047 eV/atom
1.0
6.175 0.000 0.000
-3.088 5.348 0.000
0.000 0.000 7.579
Ba Ho Pb O
3 1 2 9
Cartesian
0.000 0.000 0.000
0.000 3.565 5.087
3.088 1.783 2.492
0.000 0.000 3.789
0.000 3.565 1.289
3.088 1.783 6.290
-1.544 2.674 0.000
0.000 1.792 2.502
-1.536 4.452 2.502
1.552 0.896 5.077
3.088 0.000 0.000
1.544 2.674 0.000
1.536 4.452 2.502
4.624 0.896 5.077
3.088 3.556 5.077

No. 2
ReRh2Se PBE relaxed; calculated density = 12.91 g/cm3; formation energy without anion corrections = 0.175 eV/atom
1.0
2.858 0.000 0.000
0.000 3.813 0.000
0.000 0.000 5.560
Re Rh Se
1 2 1
Cartesian
0.000 0.000 0.000
1.429 1.907 1.305
1.429 1.907 4.255
0.000 0.000 2.780

No. 3
SrPb3I2Br6 PBE relaxed; calculated density = 4.89 g/cm3; formation energy without anion corrections = -1.128 eV/atom
1.0
7.934 -4.453 0.000
7.934 4.453 0.000
-0.481 0.000 6.930
Sr Pb I Br
1 3 2 6
Cartesian
0.000 0.000 0.000
3.967 2.227 0.000
3.967 -2.227 0.000
7.694 0.000 3.465
4.828 0.000 4.988
10.560 0.000 1.941
6.539 2.258 1.699
2.607 0.000 1.581
8.849 2.258 5.231
6.539 -2.258 1.699
12.781 0.000 5.348
8.849 -2.258 5.231

No. 4
Tc2AgMo PBE relaxed; ΔE_f = 0.462 eV/atom; energy above the lowest structure with this stoichiometry = 0.192 eV/atom; calculated density = 10.30 g/cm3
1.0
3.313 0.000 0.000
0.000 3.313 0.000
0.000 0.000 5.873
Tc Ag Mo
2 1 1
Cartesian
0.000 0.000 0.000
1.657 1.657 1.211
0.000 0.000 2.897
1.657 1.657 4.591